First-principles (PBE+U) data for a relaxed structure of SrPrCoRuO6, as listed in Alexandria.

Cell: 5.6021 5.6914 9.6775 Å, 90.00 125.23 90.00°
Closest atoms and distances in Å follow each position.
Space group Pc (No. 7)
Symmetry-distinct sites (fractional):
Sr 0.0000 0.2111 0.0000 [2 per cell]  8 O 2.49-2.77
Pr 0.4842 0.3025 0.5023 [2 per cell]  6 O 2.41-2.62
Co 0.7438 0.2449 0.2504 [2 per cell]  6 O 2.06-2.11
Ru 0.2437 0.2479 0.7501 [2 per cell]  6 O 1.97-2.00
O 0.0057 0.4626 0.7878 [2 per cell]  1 Ru 1.99, 1 Co 2.11
O 0.0927 0.0387 0.2953 [2 per cell]  1 Ru 2.00, 1 Co 2.10
O 0.4167 0.4750 0.2105 [2 per cell]  1 Ru 2.00, 1 Co 2.10
O 0.4891 0.0513 0.7071 [2 per cell]  1 Ru 1.99, 1 Co 2.09
O 0.5551 0.2715 0.9944 [2 per cell]  1 Ru 1.97, 1 Co 2.06
O 0.9129 0.2360 0.5067 [2 per cell]  1 Ru 1.99, 1 Co 2.08

Results
magnetic moment: 6.0 μB/f.u.
DFT total energy: -0.2598 Ha/atom